(1)
Entry from Alexandria: an optimized crystal structure of RbPIN2 (GGA-PBE).

Cell: 5.5355 5.5355 7.2053 Å, 90.00 90.00 90.00°
With the nearest neighbours (Å) after each atom.
Space group P4/mmm (No. 123)
One atom of each set of equivalent atoms:
Rb 0.0000 0.0000 0.0000 (multiplicity 1)  4 N 2.77
P 0.5000 0.5000 0.5000 (multiplicity 1)  4 I 3.91
I 0.0000 0.0000 0.5000 (multiplicity 1)  2 Rb 3.60, 4 P 3.91
N 0.0000 0.5000 0.0000 (multiplicity 2)  2 Rb 2.77

Summary:
E_form (uncorrected) in kcal/mol of atoms: 52.22

=====

(2)
Entry from Alexandria: an optimized crystal structure of Nd3Dy12Tl (GGA-PBE).

Cell: 4.9840 4.9840 20.2717 Å, 90.00 90.00 90.00°
With the nearest neighbours (Å) after each atom.
Space group P4/mmm (No. 123)
One atom of each set of equivalent atoms:
Nd 0.0000 0.0000 0.0000 (multiplicity 1)  12 Dy 3.52-3.58
Nd 0.0000 0.0000 0.2516 (multiplicity 2)  12 Dy 3.53-3.60
Dy 0.0000 0.5000 0.1267 (multiplicity 4)  8 Dy 3.52-3.63, 4 Nd 3.55-3.58
Dy 0.0000 0.5000 0.3797 (multiplicity 4)  2 Tl 3.49, 8 Dy 3.49-3.53, 2 Nd 3.60
Dy 0.5000 0.5000 0.0000 (multiplicity 1)  4 Nd 3.52, 8 Dy 3.58
Dy 0.5000 0.5000 0.2566 (multiplicity 2)  4 Nd 3.53, 8 Dy 3.53-3.63
Dy 0.5000 0.5000 0.5000 (multiplicity 1)  8 Dy 3.49, 4 Tl 3.52
Tl 0.0000 0.0000 0.5000 (multiplicity 1)  12 Dy 3.49-3.52

Summary:
Energy of formation from the pure elements in eV per atom: -0.0209

=====

(3)
Entry from Alexandria: an optimized crystal structure of MgTe2Au (GGA-PBE).

Cell: 4.1056 6.5528 8.1436 Å, 90.00 90.00 90.00°
With the nearest neighbours (Å) after each atom.
Space group Immm (No. 71)
One atom of each set of equivalent atoms:
Mg 0.0000 0.0000 0.0000 (multiplicity 2)  4 Te 3.02
Te 0.0000 0.5000 0.2284 (multiplicity 4)  2 Au 2.77, 2 Mg 3.02
Au 0.0000 0.0000 0.5000 (multiplicity 2)  4 Te 2.77

Summary:
E_form (uncorrected) in kcal/mol of atoms: -2.02

=====

(4)
Entry from Alexandria: an optimized crystal structure of Cs3Na2AgF9 (GGA-PBE).

Cell: 6.3999 6.3999 7.9376 Å, 90.00 90.00 120.00°
With the nearest neighbours (Å) after each atom.
Space group P-3m1 (No. 164)
One atom of each set of equivalent atoms:
Cs 0.0000 0.0000 0.0000 (multiplicity 1)  12 F 3.20-3.26
Cs 0.3333 0.6667 0.6887 (multiplicity 2)  12 F 3.09-3.34
Na 0.3333 0.6667 0.1640 (multiplicity 2)  6 F 2.26-2.48
Ag 0.0000 0.0000 0.5000 (multiplicity 1)  6 F 2.08
F 0.0000 0.5000 0.0000 (multiplicity 3)  2 Na 2.26
F 0.1539 0.3078 0.3506 (multiplicity 6)  1 Ag 2.08

Summary:
E_form (uncorrected) in kcal/mol of atoms: -49.99

=====

In order of appearance, volume = 44.16, 31.47, 27.39, 18.77 A^3/atom.
In order of appearance, spin magnetization = 3.00, 0.01, 0.00, 1.92 μB per formula unit.